## Ba6Au3F (PBE)

Data for a relaxed Ba6Au3F crystal.

Properties
Crystal system: orthorhombic
Energy relative to the elements, uncorrected, eV/atom: -1.0077
DOS at the Fermi energy, states/eV per cell: 17.02

Unit cell a=10.384 b=10.384 c=7.802 alpha=90.00 beta=90.00 gamma=102.48
Positions (direct):
Ba 0.047 0.953 0.500
Ba 0.112 0.564 0.558
Ba 0.223 0.777 0.049
Ba 0.302 0.362 0.054
Ba 0.362 0.302 0.554
Ba 0.436 0.888 0.558
Ba 0.564 0.112 0.058
Ba 0.638 0.698 0.054
Ba 0.698 0.638 0.554
Ba 0.777 0.223 0.549
Ba 0.888 0.436 0.058
Ba 0.953 0.047 0.000
Au 0.063 0.273 0.338
Au 0.273 0.063 0.838
Au 0.396 0.604 0.768
Au 0.604 0.396 0.268
Au 0.727 0.937 0.338
Au 0.937 0.727 0.838
F 0.205 0.795 0.398
F 0.795 0.205 0.898

## Ba8Au5F (PBE)

Data for a relaxed Ba8Au5F crystal.

Properties
Crystal system: tetragonal
Energy relative to the elements, uncorrected, eV/atom: -0.8658
DOS at the Fermi energy, states/eV per cell: 9.62

Unit cell a=9.274 b=9.274 c=9.274 alpha=106.09 beta=106.09 gamma=116.47
Positions (direct):
Ba 0.315 0.622 0.204
Ba 0.378 0.582 0.692
Ba 0.415 0.192 0.308
Ba 0.418 0.111 0.796
Ba 0.808 0.116 0.223
Ba 0.884 0.107 0.692
Ba 0.889 0.685 0.308
Ba 0.893 0.585 0.777
Au 0.144 0.133 0.492
Au 0.349 0.856 0.989
Au 0.500 0.500 0.000
Au 0.640 0.651 0.508
Au 0.867 0.360 0.011
F 0.750 0.250 0.500

## BaAuF2 (PBE)

Data for a relaxed BaAuF2 crystal.

Properties
Crystal system: trigonal
Distance to the lowest polymorph of the same formula, eV per atom: 0.000
Energy relative to the elements, uncorrected, eV/atom: -2.1658
DOS at the Fermi energy, states/eV per cell: 1.17

Unit cell a=7.558 b=7.558 c=7.558 alpha=31.49 beta=31.49 gamma=31.49
Positions (direct):
Ba 0.000 0.000 0.000
Au 0.500 0.500 0.500
F 0.283 0.283 0.283
F 0.717 0.717 0.717

## Ba3AuF (PBE)

Data for a relaxed Ba3AuF crystal.

Properties
Crystal system: cubic
Distance to the lowest polymorph of the same formula, eV per atom: 0.000
Energy relative to the elements, uncorrected, eV/atom: -1.1483
DOS at the Fermi energy, states/eV per cell: 5.41

Unit cell a=5.528 b=5.528 c=5.528 alpha=90.00 beta=90.00 gamma=90.00
Positions (direct):
Ba 0.000 0.000 0.500
Ba 0.000 0.500 0.000
Ba 0.500 0.000 0.000
Au 0.500 0.500 0.500
F 0.000 0.000 0.000

## Ba2Au2F (PBE)

Data for a relaxed Ba2Au2F crystal.

Properties
Crystal system: tetragonal
Energy relative to the elements, uncorrected, eV/atom: -1.4295
DOS at the Fermi energy, states/eV per cell: 6.46

Unit cell a=8.135 b=8.135 c=4.822 alpha=90.00 beta=90.00 gamma=90.00
Positions (direct):
Ba 0.189 0.311 0.000
Ba 0.311 0.811 0.000
Ba 0.689 0.189 0.000
Ba 0.811 0.689 0.000
Au 0.119 0.619 0.500
Au 0.381 0.119 0.500
Au 0.619 0.881 0.500
Au 0.881 0.381 0.500
F 0.000 0.000 0.000
F 0.500 0.500 0.000

## BaAuF4 (PBE)

Data for a relaxed BaAuF4 crystal.

Properties
Crystal system: orthorhombic
Energy relative to the elements, uncorrected, eV/atom: -2.2750
DOS at the Fermi energy, states/eV per cell: 3.52

Unit cell a=7.469 b=7.469 c=6.028 alpha=90.00 beta=90.00 gamma=141.98
Positions (direct):
Ba 0.135 0.865 0.750
Ba 0.865 0.135 0.250
Au 0.394 0.606 0.750
Au 0.606 0.394 0.250
F 0.053 0.947 0.250
F 0.299 0.701 0.028
F 0.299 0.701 0.472
F 0.500 0.500 0.000
F 0.500 0.500 0.500
F 0.701 0.299 0.528
F 0.701 0.299 0.972
F 0.947 0.053 0.750

## BaAu3F (PBE)

Data for a relaxed BaAu3F crystal.

Properties
Crystal system: cubic
Distance to the lowest polymorph of the same formula, eV per atom: 0.761
Energy relative to the elements, uncorrected, eV/atom: 0.5602
DOS at the Fermi energy, states/eV per cell: 4.96

Unit cell a=6.237 b=6.237 c=6.237 alpha=90.00 beta=90.00 gamma=90.00
Positions (direct):
Ba 0.000 0.000 0.000
Au 0.000 0.000 0.500
Au 0.000 0.500 0.000
Au 0.500 0.000 0.000
F 0.500 0.500 0.500

## Ba4Au2F (PBE)

Data for a relaxed Ba4Au2F crystal.

Properties
Crystal system: tetragonal
Energy relative to the elements, uncorrected, eV/atom: -1.1451
DOS at the Fermi energy, states/eV per cell: 6.71

Unit cell a=9.438 b=9.438 c=9.438 alpha=146.69 beta=146.69 gamma=47.83
Positions (direct):
Ba 0.000 0.500 0.500
Ba 0.190 0.190 0.000
Ba 0.500 0.000 0.500
Ba 0.810 0.810 0.000
Au 0.377 0.377 0.000
Au 0.623 0.623 0.000
F 0.000 0.000 0.000

## Ba3Au5F12 (PBE)

Data for a relaxed Ba3Au5F12 crystal.

Properties
Crystal system: cubic
Energy relative to the elements, uncorrected, eV/atom: -1.8810
DOS at the Fermi energy, states/eV per cell: 61.94

Unit cell a=12.734 b=12.734 c=12.734 alpha=109.47 beta=109.47 gamma=109.47
Positions (direct):
Ba 0.125 0.250 0.375
Ba 0.125 0.375 0.750
Ba 0.250 0.375 0.125
Ba 0.250 0.875 0.625
Ba 0.375 0.125 0.250
Ba 0.375 0.750 0.125
Ba 0.625 0.250 0.875
Ba 0.625 0.875 0.750
Ba 0.750 0.125 0.375
Ba 0.750 0.625 0.875
Ba 0.875 0.625 0.250
Ba 0.875 0.750 0.625
Au 0.000 0.000 0.000
Au 0.000 0.000 0.500
Au 0.000 0.500 0.000
Au 0.000 0.500 0.500
Au 0.125 0.750 0.875
Au 0.125 0.875 0.250
Au 0.250 0.125 0.875
Au 0.250 0.625 0.375
Au 0.375 0.250 0.625
Au 0.375 0.625 0.750
Au 0.500 0.000 0.000
Au 0.500 0.000 0.500
Au 0.500 0.500 0.000
Au 0.500 0.500 0.500
Au 0.625 0.375 0.250
Au 0.625 0.750 0.375
Au 0.750 0.375 0.625
Au 0.750 0.875 0.125
Au 0.875 0.125 0.750
Au 0.875 0.250 0.125
F 0.049 0.217 0.135
F 0.049 0.332 0.914
F 0.082 0.717 0.668
F 0.082 0.865 0.414
F 0.086 0.635 0.418
F 0.086 0.951 0.668
F 0.135 0.049 0.217
F 0.135 0.586 0.918
F 0.168 0.217 0.582
F 0.168 0.451 0.586
F 0.217 0.135 0.049
F 0.217 0.582 0.168
F 0.283 0.332 0.918
F 0.283 0.451 0.365
F 0.332 0.914 0.049
F 0.332 0.918 0.283
F 0.365 0.283 0.451
F 0.365 0.582 0.914
F 0.414 0.082 0.865
F 0.414 0.832 0.549
F 0.418 0.086 0.635
F 0.418 0.832 0.783
F 0.451 0.365 0.283
F 0.451 0.586 0.168
F 0.549 0.414 0.832
F 0.549 0.635 0.717
F 0.582 0.168 0.217
F 0.582 0.914 0.365
F 0.586 0.168 0.451
F 0.586 0.918 0.135
F 0.635 0.418 0.086
F 0.635 0.717 0.549
F 0.668 0.082 0.717
F 0.668 0.086 0.951
F 0.717 0.549 0.635
F 0.717 0.668 0.082
F 0.783 0.418 0.832
F 0.783 0.865 0.951
F 0.832 0.549 0.414
F 0.832 0.783 0.418
F 0.865 0.414 0.082
F 0.865 0.951 0.783
F 0.914 0.049 0.332
F 0.914 0.365 0.582
F 0.918 0.135 0.586
F 0.918 0.283 0.332
F 0.951 0.668 0.086
F 0.951 0.783 0.865

## Ba2AuF6 (PBE)

Data for a relaxed Ba2AuF6 crystal.

Properties
Crystal system: tetragonal
Energy relative to the elements, uncorrected, eV/atom: -2.7398

Unit cell a=5.612 b=5.612 c=12.404 alpha=90.00 beta=90.00 gamma=90.00
Positions (direct):
Ba 0.000 0.000 0.164
Ba 0.000 0.000 0.836
Ba 0.500 0.500 0.336
Ba 0.500 0.500 0.664
Au 0.000 0.000 0.500
Au 0.500 0.500 0.000
F 0.179 0.179 0.338
F 0.179 0.179 0.662
F 0.232 0.232 0.000
F 0.268 0.732 0.500
F 0.321 0.679 0.162
F 0.321 0.679 0.838
F 0.679 0.321 0.162
F 0.679 0.321 0.838
F 0.732 0.268 0.500
F 0.768 0.768 0.000
F 0.821 0.821 0.338
F 0.821 0.821 0.662

## Ba2GaAuF (PBE)

Data for a relaxed Ba2GaAuF crystal.

Properties
Crystal system: tetragonal
Energy relative to the elements, uncorrected, eV/atom: -0.8772
DOS at the Fermi energy, states/eV per cell: 2.76

Unit cell a=6.356 b=6.356 c=4.766 alpha=90.00 beta=90.00 gamma=90.00
Positions (direct):
Ba 0.000 0.500 0.000
Ba 0.500 0.000 0.000
Ga 0.000 0.000 0.000
Au 0.000 0.000 0.500
F 0.500 0.500 0.500

## BaH2AuF8 (PBE)

Data for a relaxed BaH2AuF8 crystal.

Properties
Crystal system: triclinic
Total DFT energy (no corrections), Ry per atom: -0.30094
DOS at the Fermi energy, states/eV per cell: 1.32

Unit cell a=4.771 b=5.190 c=7.787 alpha=96.63 beta=97.27 gamma=108.28
Positions (direct):
Ba 0.000 0.000 0.000
H 0.318 0.519 0.817
H 0.682 0.481 0.183
Au 0.000 0.000 0.500
F 0.195 0.220 0.330
F 0.238 0.761 0.465
F 0.277 0.267 0.755
F 0.359 0.705 0.903
F 0.641 0.295 0.097
F 0.723 0.733 0.245
F 0.762 0.239 0.535
F 0.805 0.780 0.670